Computed, not measured: a relaxed structure of Fe2TcBr at the PBE level of DFT.

POSCAR file:
```
Fe2TcBr
1.0
-0.966 -4.308 2.259
3.767 -1.962 2.561
-2.187 4.444 -0.250
Br Fe Tc
1 2 1
Direct
0.750 0.250 0.500
0.000 0.000 0.000
0.500 0.500 0.000
0.250 0.750 0.500
```

The space group is I4/mmm (139). The value obtained for the uncorrected formation energy is 4.0 eV/f.u.